Here is a relaxed InNi3N crystal from Alexandria via LeMat-Bulk. Energies are from PBEsol.

Lattice parameters (Å, degrees): 3.8121 3.8121 3.8121 90.00 90.00 90.00
Last column: nearest neighbours and their distance in Å.
Sites, in units of the cell vectors:
Ni 0.0000 0.0000 0.5000  2 N 1.91
Ni 0.5000 0.0000 0.0000  2 N 1.91
In 0.5000 0.5000 0.5000  12 Ni 2.70
N 0.0000 0.0000 0.0000  6 Ni 1.91
Ni 0.0000 0.5000 0.0000  2 N 1.91

E = -30.904 eV/f.u.
Uncorrected formation energy = -184 meV/atom